# 1
The following is a DFT calculation (PBE) of an optimized crystal structure of BaCdTc2.

Properties
Crystal system: cubic
Energy in eV/atom: -4.82
Magnetization in μB per formula unit: 0.04

Lattice parameters (Å, degrees): 6.9900 6.9900 6.9900 90.00 90.00 90.00
Last column: nearest neighbours and their distance in Å.
Space group F-43m (No. 216)
Symmetry-distinct sites (fractional):
Ba: 0.0000 0.0000 0.0000  4 Tc 3.03, 4 Cd 3.03
Cd: 0.2500 0.2500 0.2500  4 Ba 3.03, 4 Tc 3.03
Tc: 0.0000 0.0000 0.5000  4 Cd 3.03, 4 Tc 3.03
Tc: 0.2500 0.2500 0.7500  4 Ba 3.03, 4 Tc 3.03


# 2
The following is a DFT calculation (PBE) of an optimized crystal structure of BaCd2Tc.

Properties
Crystal system: cubic
Energy in eV/atom: -2.82
Magnetization in μB per formula unit: 2.33

Lattice parameters (Å, degrees): 7.3136 7.3136 7.3136 90.00 90.00 90.00
Last column: nearest neighbours and their distance in Å.
Space group F-43m (No. 216)
Symmetry-distinct sites (fractional):
Ba: 0.0000 0.0000 0.0000  4 Cd 3.17, 4 Tc 3.17
Cd: 0.0000 0.0000 0.5000  4 Cd 3.17, 4 Tc 3.17
Cd: 0.2500 0.2500 0.7500  4 Cd 3.17, 4 Ba 3.17
Tc: 0.2500 0.2500 0.2500  4 Cd 3.17, 4 Ba 3.17


# 3
The following is a DFT calculation (PBE) of an optimized crystal structure of BaCdTe.

Properties
Crystal system: cubic
Energy in eV/atom: -2.74
ΔE to the lowest computed polymorph in kJ/mol of formula units: 19

Lattice parameters (Å, degrees): 8.1352 8.1352 8.1352 90.00 90.00 90.00
Last column: nearest neighbours and their distance in Å.
Space group F-43m (No. 216)
Symmetry-distinct sites (fractional):
Ba: 0.0000 0.0000 0.0000  4 Te 3.52
Cd: 0.0000 0.0000 0.5000  4 Te 3.52
Te: 0.2500 0.2500 0.2500  4 Cd 3.52, 4 Ba 3.52


# 4
The following is a DFT calculation (PBE) of an optimized crystal structure of BaCdTe.

Properties
Crystal system: cubic
Energy in eV/atom: -2.80
ΔE to the lowest computed polymorph in kJ/mol of formula units: 0

Lattice parameters (Å, degrees): 8.0368 8.0368 8.0368 90.00 90.00 90.00
Last column: nearest neighbours and their distance in Å.
Space group F-43m (No. 216)
Symmetry-distinct sites (fractional):
Ba: 0.0000 0.0000 0.0000  4 Cd 3.48, 4 Te 3.48
Cd: 0.2500 0.2500 0.7500  4 Ba 3.48
Te: 0.2500 0.2500 0.2500  4 Ba 3.48


# 5
The following is a DFT calculation (PBE) of an optimized crystal structure of BaYCdTe3.

Properties
Crystal system: orthorhombic
Energy in eV/atom: -4.23
Magnetization in μB per formula unit: 0.12

Lattice parameters (Å, degrees): 4.5067 15.8401 11.3868 90.00 90.00 90.00
Last column: nearest neighbours and their distance in Å.
Space group Cmcm (No. 63)
Symmetry-distinct sites (fractional):
Ba: 0.0000 0.2322 0.2500  8 Te 3.56-3.98, 2 Cd 3.96
Y: 0.0000 0.0000 0.0000  6 Te 3.16-3.19
Cd: 0.0000 0.4736 0.7500  4 Te 2.88-2.92
Te: 0.0000 0.0909 0.7500  2 Cd 2.92, 2 Y 3.19
Te: 0.0000 0.3641 0.5478  1 Cd 2.88, 2 Y 3.16


# 6
The following is a DFT calculation (PBE) of an optimized crystal structure of BaZnCdTe3.

Properties
Crystal system: orthorhombic
Energy in eV/atom: -3.05
ΔE to the lowest computed polymorph in kJ/mol of formula units: 0

Lattice parameters (Å, degrees): 4.4516 14.9275 11.6042 90.00 90.00 90.00
Last column: nearest neighbours and their distance in Å.
Space group Cmcm (No. 63)
Symmetry-distinct sites (fractional):
Ba: 0.0000 0.2458 0.2500  6 Te 3.53-3.56, 2 Zn 3.84
Zn: 0.0000 0.4640 0.7500  4 Te 2.67-2.74
Cd: 0.0000 0.0000 0.0000  6 Te 3.08-3.09
Te: 0.0000 0.0708 0.7500  2 Zn 2.74
Te: 0.0000 0.3651 0.5581  1 Zn 2.67


# 7
The following is a DFT calculation (PBE) of an optimized crystal structure of BaZnCdTe3.

Properties
Crystal system: orthorhombic
Energy in eV/atom: -2.95
ΔE to the lowest computed polymorph in kJ/mol of formula units: 60

Lattice parameters (Å, degrees): 4.4375 15.0434 11.5325 90.00 90.00 90.00
Last column: nearest neighbours and their distance in Å.
Space group Cmcm (No. 63)
Symmetry-distinct sites (fractional):
Ba: 0.0000 0.2372 0.2500  6 Te 3.48-3.63, 2 Cd 3.84
Zn: 0.0000 0.0000 0.0000  6 Te 2.99-3.15
Cd: 0.0000 0.4712 0.7500  4 Te 2.80-2.81
Te: 0.0000 0.0850 0.7500  2 Cd 2.80
Te: 0.0000 0.3710 0.5443  1 Cd 2.81, 2 Zn 2.99


# 8
The following is a DFT calculation (PBE) of an optimized crystal structure of Ba2TlCd.

Properties
Crystal system: orthorhombic
Energy in eV/atom: -2.15
ΔE to the lowest computed polymorph in kJ/mol of formula units: 1

Lattice parameters (Å, degrees): 12.1679 6.0399 8.3388 90.00 90.00 90.00
Last column: nearest neighbours and their distance in Å.
Space group Pnma (No. 62)
Symmetry-distinct sites (fractional):
Ba: 0.1299 0.2500 0.9999  4 Cd 3.64-3.73, 4 Tl 3.65-3.73
Ba: 0.1304 0.2500 0.5000  4 Cd 3.64-3.73, 4 Tl 3.65-3.73
Tl: 0.1159 0.7500 0.2505  8 Ba 3.65-3.73
Cd: 0.1154 0.7500 0.7495  8 Ba 3.64-3.73


The lowest energy belongs to which entry?
BaCdTc2